# 1
KSiB | the Alexandria database | PBE-GGA | optimized geometry; formation energy from raw total energies = 9.26 kJ per mole of atoms; space-group type = C2/m; D(E_F) = 0.887 states/eV/f.u.
1.0
-2.169 4.262 0.588
-2.422 -3.295 -4.840
-2.020 -6.565 0.573
Si K B
2 2 2
Direct
0.747 0.931 0.070
0.228 0.930 0.551
0.487 0.549 0.501
0.487 0.312 0.120
0.817 0.930 0.810
0.157 0.931 0.811

---

# 2
KSiB | the Alexandria database | PBE-GGA | optimized geometry; formation energy from raw total energies = 22.33 kJ per mole of atoms; space-group type = R-3m; D(E_F) = 0.792 states/eV/f.u.
1.0
-5.232 -10.165 2.295
-2.189 -11.413 0.957
-2.390 -10.534 4.391
K B Si
2 2 2
Direct
0.604 0.604 0.604
0.396 0.396 0.396
0.130 0.130 0.130
0.870 0.870 0.870
0.805 0.805 0.805
0.195 0.195 0.195

---

# 3
KSiB | the Alexandria database | PBE-GGA | optimized geometry; formation energy from raw total energies = 29.77 kJ per mole of atoms; space-group type = P1; D(E_F) = 1.091 states/eV/f.u.
1.0
-6.092 2.741 0.543
0.496 -0.535 -3.772
-1.944 -4.908 1.421
K B Si
2 2 2
Direct
0.508 0.726 0.970
0.181 0.055 0.436
0.006 0.139 0.956
0.888 0.352 0.159
0.733 0.399 0.455
0.950 0.583 0.843

---

# 4
KSiB | the Alexandria database | PBE-GGA | optimized geometry; formation energy from raw total energies = 49.08 kJ per mole of atoms; space-group type = P4/mmm; D(E_F) = 0.351 states/eV/f.u.
1.0
4.626 0.000 0.000
0.000 4.626 0.000
0.000 0.000 3.660
Si B K
1 1 1
Direct
0.000 0.000 0.500
0.000 0.000 0.000
0.500 0.500 0.000

---

# 5
KSiB | the Alexandria database | PBE-GGA | optimized geometry; formation energy from raw total energies = 33.58 kJ per mole of atoms; space-group type = Pnma; D(E_F) = 0.177 states/eV/f.u.
1.0
10.234 0.000 0.000
0.000 3.818 0.000
0.000 0.000 7.123
Si B K
4 4 4
Direct
0.516 0.250 0.387
0.016 0.250 0.113
0.484 0.750 0.613
0.984 0.750 0.887
0.033 0.750 0.169
0.467 0.250 0.669
0.967 0.250 0.831
0.533 0.750 0.331
0.321 0.750 0.008
0.179 0.250 0.508
0.679 0.250 0.992
0.821 0.750 0.492

---

# 6
KSiB | the Alexandria database | PBE-GGA | optimized geometry; formation energy from raw total energies = 26.71 kJ per mole of atoms; space-group type = P1; D(E_F) = 0.000 states/eV/f.u.
1.0
6.711 0.011 0.012
-0.748 6.587 -0.002
-3.050 -3.206 5.496
B K Si
4 4 4
Direct
0.090 0.049 0.851
0.152 0.797 0.794
0.700 0.731 0.863
0.125 0.266 0.450
0.541 0.156 0.753
0.942 0.692 0.309
0.413 0.570 0.282
0.567 0.092 0.237
0.042 0.241 0.696
0.985 0.055 0.095
0.358 0.609 0.720
0.924 0.581 0.788

---

# 7
KSiB | the Alexandria database | PBE-GGA | optimized geometry; formation energy from raw total energies = 8.47 kJ per mole of atoms; space-group type = P6_3/mmc; D(E_F) = 0.000 states/eV/f.u.
1.0
-0.374 3.351 -1.038
-1.957 -1.254 2.655
7.563 3.011 6.998
Si B K
2 2 2
Direct
0.667 0.333 0.750
0.333 0.667 0.250
0.333 0.667 0.750
0.667 0.333 0.250
0.000 0.000 0.000
0.000 0.000 0.500

---

# 8
KSiB | the Alexandria database | PBE-GGA | optimized geometry; formation energy from raw total energies = 10.68 kJ per mole of atoms; space-group type = Cmce; D(E_F) = 0.197 states/eV/f.u.
1.0
-1.345 3.530 -5.048
-0.766 -3.310 -5.312
-6.707 -0.620 1.354
B K Si
4 4 4
Direct
0.845 0.155 0.845
0.155 0.845 0.155
0.345 0.655 0.655
0.655 0.345 0.345
0.692 0.692 0.000
0.308 0.308 0.000
0.808 0.808 0.500
0.192 0.192 0.500
0.359 0.641 0.359
0.859 0.141 0.141
0.641 0.359 0.641
0.141 0.859 0.859

---

# 9
KSiB | the Alexandria database | PBE-GGA | optimized geometry; formation energy from raw total energies = 22.56 kJ per mole of atoms; space-group type = P2_1; D(E_F) = 0.698 states/eV/f.u.
1.0
-1.551 -3.169 0.000
4.958 -2.427 -1.314
2.093 -0.668 9.134
K Si B
2 2 2
Direct
0.275 0.485 0.274
0.725 0.985 0.726
0.748 0.419 0.974
0.252 0.919 0.026
0.753 0.756 0.027
0.247 0.256 0.973

---

# 10
KSiB | the Alexandria database | PBE-GGA | optimized geometry; formation energy from raw total energies = 51.70 kJ per mole of atoms; space-group type = Cmmm; D(E_F) = 0.932 states/eV/f.u.
1.0
-5.185 -9.014 0.456
-1.711 -10.188 1.274
-0.953 0.812 5.213
Si B K
2 2 2
Direct
0.288 0.288 0.500
0.712 0.712 0.500
0.187 0.187 0.500
0.813 0.813 0.500
0.628 0.628 0.000
0.372 0.372 0.000

---

# 11
KSiB | the Alexandria database | PBE-GGA | optimized geometry; formation energy from raw total energies = 18.52 kJ per mole of atoms; space-group type = Immm; D(E_F) = 1.064 states/eV/f.u.
1.0
4.782 0.004 -0.007
-0.002 4.922 0.000
2.400 -2.465 6.822
B K Si
2 2 2
Direct
0.413 0.931 0.811
0.080 0.930 0.810
0.390 0.286 0.523
0.102 0.575 0.098
0.835 0.842 0.634
0.658 0.019 0.987

---

# 12
KSiB | the Alexandria database | PBE-GGA | optimized geometry; formation energy from raw total energies = 27.28 kJ per mole of atoms; space-group type = Cm; D(E_F) = 0.289 states/eV/f.u.
1.0
19.806 0.000 -0.013
8.207 1.561 -2.398
-8.207 1.561 2.398
B Si K
2 2 2
Direct
0.415 0.393 0.607
0.459 0.806 0.194
0.316 0.079 0.921
0.545 0.134 0.866
0.719 0.273 0.727
0.991 0.242 0.758

---

# 13
KSiB | the Alexandria database | PBE-GGA | optimized geometry; formation energy from raw total energies = 34.09 kJ per mole of atoms; space-group type = Pnma; D(E_F) = 0.966 states/eV/f.u.
1.0
-1.999 3.519 -5.970
2.851 -1.617 -1.907
-5.955 -7.580 -2.474
B K Si
4 4 4
Direct
0.330 0.750 0.972
0.170 0.250 0.472
0.830 0.750 0.528
0.670 0.250 0.028
0.003 0.250 0.818
0.497 0.750 0.318
0.997 0.750 0.182
0.503 0.250 0.682
0.884 0.250 0.494
0.616 0.750 0.994
0.116 0.750 0.506
0.384 0.250 0.006

---

# 14
KSiB | the Alexandria database | PBE-GGA | optimized geometry; formation energy from raw total energies = 49.22 kJ per mole of atoms; space-group type = P6_3/mmc; D(E_F) = 0.246 states/eV/f.u.
1.0
-3.287 -2.741 -3.526
5.493 -0.008 -0.755
0.559 -5.984 4.131
Si K B
2 2 2
Direct
0.000 0.000 0.000
0.000 0.000 0.500
0.667 0.333 0.750
0.333 0.667 0.250
0.000 0.000 0.250
0.000 0.000 0.750

---

# 15
KSiB | the Alexandria database | PBE-GGA | optimized geometry; formation energy from raw total energies = 23.70 kJ per mole of atoms; space-group type = P1; D(E_F) = 0.576 states/eV/f.u.
1.0
-9.635 5.518 3.100
-1.989 -2.249 -1.928
0.983 -0.974 3.289
Si K B
2 2 2
Direct
0.767 0.355 0.663
0.960 0.670 0.034
0.545 0.694 0.260
0.182 0.010 0.760
0.791 0.036 0.022
0.936 0.318 0.346

---

# 16
KSiB | the Alexandria database | PBE-GGA | optimized geometry; formation energy from raw total energies = 21.35 kJ per mole of atoms; space-group type = P1; D(E_F) = 0.000 states/eV/f.u.
1.0
6.649 -0.003 -0.007
-0.653 3.519 0.000
2.309 1.823 5.834
Si B K
2 2 2
Direct
0.053 0.373 0.326
0.381 0.833 0.037
0.045 0.924 0.162
0.242 0.315 0.984
0.879 0.588 0.839
0.485 0.149 0.471

---

# 17
KSiB | the Alexandria database | PBE-GGA | optimized geometry; formation energy from raw total energies = 25.37 kJ per mole of atoms; space-group type = P-1; D(E_F) = 1.778 states/eV/f.u.
1.0
-4.693 -0.424 3.820
-1.747 -1.753 -2.341
5.579 -8.130 1.217
K B Si
2 2 2
Direct
0.136 0.961 0.277
0.864 0.039 0.723
0.865 0.500 0.000
0.135 0.500 0.000
0.687 0.000 0.000
0.313 0.000 0.000

---

# 18
KSi2B | the Alexandria database | PBE-GGA | optimized geometry; formation energy from raw total energies = 63.66 kJ per mole of atoms; space-group type = I-42d; D(E_F) = 1.779 states/eV/f.u.
1.0
-1.359 0.665 -6.248
-4.543 -4.521 0.507
-5.968 1.215 -1.880
Si B K
4 2 2
Direct
0.463 0.125 0.250
0.875 0.713 0.750
0.375 0.537 0.750
0.287 0.625 0.250
0.250 0.750 0.500
0.500 0.500 0.000
0.000 0.000 0.000
0.750 0.250 0.500

---

# 19
KSiB | the Alexandria database | PBE-GGA | optimized geometry; formation energy from raw total energies = 13.57 kJ per mole of atoms; space-group type = Fmm2; D(E_F) = 1.020 states/eV/f.u.
1.0
6.278 -0.003 0.000
-1.852 4.510 -0.001
2.579 3.641 4.417
Si K B
2 2 2
Direct
0.830 0.768 0.205
0.492 0.092 0.543
0.207 0.430 0.229
0.806 0.430 0.828
0.487 0.679 0.548
0.238 0.182 0.796

---

# 20
KSiB | the Alexandria database | PBE-GGA | optimized geometry; formation energy from raw total energies = 23.90 kJ per mole of atoms; space-group type = Amm2; D(E_F) = 0.137 states/eV/f.u.
1.0
-0.586 -2.421 -1.993
2.779 -4.453 4.592
-3.781 -3.151 4.941
B Si K
2 2 2
Direct
0.500 0.974 0.026
0.000 0.008 0.992
0.500 0.147 0.662
0.500 0.338 0.853
0.000 0.834 0.481
0.000 0.519 0.166